Entry 1:
The following is a PBE calculation of an optimized crystal structure of Y2Er3Pu, from Alexandria.

Properties
- SG: No. 74
- Total moment: 10.953 μB/cell
- E: -80.6 eV for the cell shown

Cell lengths 9.398, 8.748, 11.991 Å; angles 27.13, 66.93, 57.51 degrees
Sites, in units of the cell vectors:
Er1 0.312 0.065 0.479
Er2 0.688 0.935 0.521
Er3 0.855 0.435 0.021
Er4 0.384 0.750 0.250
Er5 0.616 0.250 0.750
Er6 0.145 0.565 0.979
Y1 0.588 0.145 0.118
Y2 0.852 0.355 0.382
Y3 0.148 0.645 0.618
Y4 0.412 0.855 0.882
Pu1 0.000 0.000 0.000
Pu2 0.000 0.500 0.500

=====

Entry 2:
The following is a PBE calculation of an optimized crystal structure of Y8Er5Pu, from Alexandria.

Properties
- SG: No. 82
- Total moment: 5.645 μB/cell
- E: -84.8 eV for the cell shown

Cell lengths 8.395, 8.395, 8.395 Å; angles 106.75, 115.06, 106.75 degrees
Sites, in units of the cell vectors:
Er1 0.798 0.772 0.715
Er2 0.500 0.000 0.500
Er3 0.285 0.083 0.057
Er4 0.974 0.917 0.202
Er5 0.943 0.228 0.026
Y1 0.537 0.636 0.226
Y2 0.774 0.311 0.410
Y3 0.057 0.600 0.964
Y4 0.099 0.689 0.463
Y5 0.543 0.908 0.943
Y6 0.365 0.400 0.457
Y7 0.036 0.092 0.635
Y8 0.590 0.364 0.901
Pu1 0.250 0.500 0.750

=====

Entry 3:
The following is a PBE calculation of an optimized crystal structure of Y8Er3Pu, from Alexandria.

Properties
- SG: No. 121
- Total moment: 4.328 μB/cell
- E: -72.3 eV for the cell shown

Cell lengths 8.610, 8.357, 8.610 Å; angles 58.99, 90.00, 121.01 degrees
Sites, in units of the cell vectors:
Y1 0.361 0.466 0.894
Y2 0.200 0.937 0.263
Y3 0.737 0.937 0.800
Y4 0.106 0.466 0.639
Y5 0.639 0.534 0.361
Y6 0.263 0.063 0.737
Y7 0.800 0.063 0.200
Y8 0.894 0.534 0.106
Er1 0.250 0.500 0.250
Er2 0.500 0.000 0.500
Er3 0.750 0.500 0.750
Pu1 0.000 0.000 0.000

=====

Entry 4:
The following is a PBE calculation of an optimized crystal structure of YErPu2, from Alexandria.

Properties
- E above lowest polymorph: 3 meV per atom
- SG: No. 123
- Total moment: 12.865 μB/cell

Cell lengths 5.047, 4.809, 4.809 Å; angles 90.00, 90.00, 90.00 degrees
Sites, in units of the cell vectors:
Y1 0.500 0.500 0.500
Er1 0.500 0.000 0.000
Pu1 0.000 0.000 0.500
Pu2 0.000 0.500 0.000

=====

Entry 5:
The following is a PBE calculation of an optimized crystal structure of YErPu, from Alexandria.

Properties
- E above lowest polymorph: 13 meV per atom
- SG: No. 156
- Total moment: 6.076 μB/cell

Cell lengths 3.507, 3.507, 8.525 Å; angles 90.00, 90.00, 120.00 degrees
Sites, in units of the cell vectors:
Pu1 0.667 0.333 0.335
Er1 0.333 0.667 0.664
Y1 0.000 0.000 0.001

=====

Entry 6:
The following is a PBE calculation of an optimized crystal structure of Y5Er12Pu, from Alexandria.

Properties
- SG: No. 12
- Total moment: 6.508 μB/cell
- E: -100.7 eV for the cell shown

Cell lengths 10.549, 10.541, 6.097 Å; angles 106.64, 90.01, 59.97 degrees
Sites, in units of the cell vectors:
Er1 0.165 0.000 0.500
Er2 0.001 0.331 0.000
Er3 0.835 0.000 0.500
Er4 0.500 0.666 0.498
Er5 0.668 0.331 0.000
Er6 0.834 0.666 0.498
Er7 0.670 0.000 0.000
Er8 0.166 0.334 0.502
Er9 0.332 0.669 0.000
Er10 0.500 0.334 0.502
Er11 0.999 0.669 0.000
Er12 0.330 0.000 0.000
Y1 0.333 0.335 0.003
Y2 0.500 0.000 0.500
Y3 0.667 0.665 0.997
Y4 0.835 0.330 0.493
Y5 0.165 0.670 0.507
Pu1 0.000 0.000 0.000